Entry 1:
The following is a DFT calculation (PBE with a Hubbard U) of a relaxed structure of V3O5F.

Unit cell a=5.524 b=5.534 c=7.104 alpha=72.71 beta=72.44 gamma=74.70
Positions (direct):
1 V 0.000 0.000 0.000
2 V 0.000 0.000 0.500
3 V 0.290 0.375 0.165
4 V 0.351 0.347 0.651
5 V 0.649 0.653 0.349
6 V 0.710 0.625 0.835
7 O 0.015 0.638 0.172
8 O 0.102 0.104 0.202
9 O 0.235 0.237 0.459
10 O 0.293 0.708 0.498
11 O 0.438 0.440 0.868
12 O 0.562 0.560 0.132
13 O 0.707 0.292 0.502
14 O 0.765 0.763 0.541
15 O 0.898 0.896 0.798
16 O 0.985 0.362 0.828
17 F 0.376 0.971 0.828
18 F 0.624 0.029 0.172

- symmetry = P-1, No. 2
- DFT total energy (eV/atom) = -7.58
- volume (Å³ per cell) = 194



Entry 2:
The following is a DFT calculation (PBE with a Hubbard U) of a relaxed structure of V3OF11.

Unit cell a=15.027 b=5.278 c=5.455 alpha=90.00 beta=100.41 gamma=90.00
Positions (direct):
1 V 0.000 0.228 0.000
2 V 0.000 0.772 0.500
3 V 0.331 0.250 0.600
4 V 0.331 0.750 0.100
5 V 0.665 0.250 0.266
6 V 0.665 0.750 0.766
7 O 0.022 0.045 0.250
8 O 0.022 0.955 0.750
9 F 0.109 0.334 0.965
10 F 0.109 0.666 0.465
11 F 0.215 0.170 0.556
12 F 0.215 0.830 0.056
13 F 0.308 0.447 0.288
14 F 0.308 0.553 0.788
15 F 0.354 0.053 0.911
16 F 0.354 0.947 0.411
17 F 0.447 0.330 0.642
18 F 0.447 0.670 0.142
19 F 0.550 0.169 0.223
20 F 0.550 0.831 0.723
21 F 0.642 0.448 0.955
22 F 0.642 0.552 0.455
23 F 0.688 0.052 0.576
24 F 0.688 0.948 0.076
25 F 0.781 0.332 0.307
26 F 0.781 0.668 0.807
27 F 0.885 0.160 0.878
28 F 0.885 0.840 0.378
29 F 0.971 0.474 0.633
30 F 0.971 0.526 0.133

- symmetry = Pc, No. 7
- DFT total energy (eV/atom) = -5.73
- volume (Å³ per cell) = 426



Entry 3:
The following is a DFT calculation (PBE with a Hubbard U) of a relaxed structure of V3OF11.

Unit cell a=5.451 b=5.291 c=15.093 alpha=90.00 beta=100.39 gamma=90.00
Positions (direct):
1 V 0.083 0.000 0.167
2 V 0.230 0.424 0.506
3 V 0.417 0.000 0.833
4 V 0.583 0.500 0.167
5 V 0.770 0.924 0.494
6 V 0.917 0.500 0.833
7 O 0.047 0.188 0.525
8 O 0.953 0.688 0.475
9 F 0.010 0.079 0.051
10 F 0.128 0.197 0.856
11 F 0.156 0.922 0.282
12 F 0.205 0.698 0.811
13 F 0.206 0.412 0.387
14 F 0.290 0.586 0.610
15 F 0.295 0.303 0.189
16 F 0.344 0.080 0.718
17 F 0.372 0.803 0.144
18 F 0.466 0.774 0.474
19 F 0.489 0.922 0.949
20 F 0.511 0.422 0.051
21 F 0.534 0.274 0.526
22 F 0.628 0.303 0.856
23 F 0.656 0.580 0.282
24 F 0.705 0.803 0.811
25 F 0.710 0.086 0.390
26 F 0.794 0.912 0.613
27 F 0.795 0.198 0.189
28 F 0.844 0.422 0.718
29 F 0.872 0.697 0.144
30 F 0.990 0.579 0.949

- symmetry = P2_1, No. 4
- DFT total energy (eV/atom) = -5.73
- volume (Å³ per cell) = 428



Entry 4:
The following is a DFT calculation (PBE with a Hubbard U) of a relaxed structure of VOF3.

Unit cell a=5.474 b=5.549 c=10.329 alpha=90.00 beta=90.00 gamma=90.00
Positions (direct):
1 V 0.210 0.110 0.101
2 V 0.290 0.890 0.601
3 V 0.710 0.390 0.899
4 V 0.790 0.610 0.399
5 O 0.107 0.739 0.506
6 O 0.393 0.261 0.006
7 O 0.607 0.761 0.494
8 O 0.893 0.239 0.994
9 F 0.076 0.304 0.218
10 F 0.083 0.025 0.709
11 F 0.119 0.840 0.025
12 F 0.381 0.160 0.525
13 F 0.417 0.975 0.209
14 F 0.424 0.696 0.718
15 F 0.576 0.196 0.782
16 F 0.583 0.475 0.291
17 F 0.619 0.660 0.975
18 F 0.881 0.340 0.475
19 F 0.917 0.525 0.791
20 F 0.924 0.804 0.282

- symmetry = P2_12_12_1, No. 19
- DFT total energy (eV/atom) = -5.91
- volume (Å³ per cell) = 314



Entry 5:
The following is a DFT calculation (PBE with a Hubbard U) of a relaxed structure of V4O3F9.

Unit cell a=4.984 b=5.037 c=9.246 alpha=85.60 beta=86.27 gamma=62.24
Positions (direct):
1 V 0.000 0.000 0.000
2 V 0.025 0.592 0.756
3 V 0.285 0.338 0.245
4 V 0.718 0.284 0.495
5 O 0.016 0.274 0.886
6 O 0.061 0.642 0.142
7 O 0.994 0.298 0.383
8 F 0.289 0.019 0.136
9 F 0.294 0.664 0.880
10 F 0.374 0.322 0.635
11 F 0.379 0.580 0.379
12 F 0.611 0.034 0.386
13 F 0.668 0.258 0.129
14 F 0.732 0.566 0.631
15 F 0.733 0.907 0.892
16 F 0.976 0.946 0.625

- symmetry = P1, No. 1
- DFT total energy (eV/atom) = -6.38
- volume (Å³ per cell) = 205



Entry 6:
The following is a DFT calculation (PBE with a Hubbard U) of a relaxed structure of V3O5F.

Unit cell a=5.513 b=5.513 c=7.274 alpha=108.24 beta=108.24 gamma=70.89
Positions (direct):
1 V 0.000 0.000 0.000
2 V 0.000 0.000 0.500
3 V 0.328 0.328 0.342
4 V 0.347 0.347 0.815
5 V 0.653 0.653 0.185
6 V 0.672 0.672 0.658
7 O 0.029 0.632 0.328
8 O 0.100 0.100 0.304
9 O 0.307 0.693 0.000
10 O 0.368 0.971 0.672
11 O 0.437 0.437 0.631
12 O 0.563 0.563 0.369
13 O 0.632 0.029 0.328
14 O 0.693 0.307 0.000
15 O 0.900 0.900 0.696
16 O 0.971 0.368 0.672
17 F 0.237 0.237 0.033
18 F 0.763 0.763 0.967

- symmetry = C2/m, No. 12
- DFT total energy (eV/atom) = -7.57
- volume (Å³ per cell) = 193



Entry 7:
The following is a DFT calculation (PBE with a Hubbard U) of a relaxed structure of V3O5F.

Unit cell a=4.624 b=3.041 c=13.872 alpha=90.00 beta=92.84 gamma=90.00
Positions (direct):
1 V 0.000 0.000 0.000
2 V 0.022 0.000 0.657
3 V 0.467 0.500 0.843
4 V 0.500 0.500 0.500
5 V 0.533 0.500 0.157
6 V 0.978 0.000 0.343
7 O 0.200 0.500 0.601
8 O 0.204 0.500 0.933
9 O 0.292 0.000 0.430
10 O 0.298 0.000 0.765
11 O 0.306 0.000 0.106
12 O 0.694 0.000 0.894
13 O 0.702 0.000 0.235
14 O 0.708 0.000 0.570
15 O 0.796 0.500 0.067
16 O 0.800 0.500 0.399
17 F 0.191 0.500 0.269
18 F 0.809 0.500 0.731

- symmetry = P2/m, No. 10
- DFT total energy (eV/atom) = -7.59
- volume (Å³ per cell) = 195



Entry 8:
The following is a DFT calculation (PBE with a Hubbard U) of a relaxed structure of V2O3F.

Unit cell a=7.349 b=7.349 c=6.422 alpha=90.00 beta=90.00 gamma=130.92
Positions (direct):
1 V 0.000 0.000 0.000
2 V 0.000 0.500 0.000
3 V 0.234 0.766 0.500
4 V 0.242 0.242 0.500
5 V 0.500 0.000 0.000
6 V 0.500 0.500 0.000
7 V 0.758 0.758 0.500
8 V 0.766 0.234 0.500
9 O 0.000 0.500 0.309
10 O 0.000 0.500 0.691
11 O 0.097 0.903 0.500
12 O 0.252 0.252 0.203
13 O 0.252 0.252 0.797
14 O 0.353 0.647 0.000
15 O 0.500 0.000 0.309
16 O 0.500 0.000 0.691
17 O 0.647 0.353 0.000
18 O 0.748 0.748 0.203
19 O 0.748 0.748 0.797
20 O 0.903 0.097 0.500
21 F 0.150 0.850 0.000
22 F 0.399 0.601 0.500
23 F 0.601 0.399 0.500
24 F 0.850 0.150 0.000

- symmetry = Cmmm, No. 65
- DFT total energy (eV/atom) = -7.45
- volume (Å³ per cell) = 262



Entry 9:
The following is a DFT calculation (PBE with a Hubbard U) of a relaxed structure of V4O5F7.

Unit cell a=5.376 b=5.376 c=9.085 alpha=106.93 beta=106.93 gamma=58.18
Positions (direct):
1 V 0.106 0.106 0.379
2 V 0.317 0.408 0.121
3 V 0.592 0.683 0.879
4 V 0.894 0.894 0.621
5 O 0.254 0.736 0.704
6 O 0.264 0.746 0.296
7 O 0.457 0.040 0.967
8 O 0.889 0.111 0.500
9 O 0.960 0.543 0.033
10 F 0.303 0.199 0.259
11 F 0.413 0.587 0.000
12 F 0.432 0.075 0.545
13 F 0.761 0.237 0.785
14 F 0.763 0.239 0.215
15 F 0.801 0.697 0.741
16 F 0.925 0.568 0.455

- symmetry = C2, No. 5
- DFT total energy (eV/atom) = -6.57
- volume (Å³ per cell) = 210



Entry 10:
The following is a DFT calculation (PBE with a Hubbard U) of a relaxed structure of VOF3.

Unit cell a=8.538 b=7.540 c=5.591 alpha=90.00 beta=93.62 gamma=90.00
Positions (direct):
1 V 0.247 0.247 0.184
2 V 0.247 0.753 0.684
3 V 0.753 0.247 0.316
4 V 0.753 0.753 0.816
5 O 0.239 0.066 0.331
6 O 0.239 0.934 0.831
7 O 0.761 0.066 0.169
8 O 0.761 0.934 0.669
9 F 0.070 0.270 0.007
10 F 0.070 0.730 0.507
11 F 0.262 0.421 0.395
12 F 0.262 0.579 0.895
13 F 0.415 0.243 0.016
14 F 0.415 0.757 0.516
15 F 0.585 0.243 0.484
16 F 0.585 0.757 0.984
17 F 0.738 0.421 0.105
18 F 0.738 0.579 0.605
19 F 0.930 0.270 0.493
20 F 0.930 0.730 0.993

- symmetry = P2/c, No. 13
- DFT total energy (eV/atom) = -5.91
- volume (Å³ per cell) = 359



Entry 11:
The following is a DFT calculation (PBE with a Hubbard U) of a relaxed structure of VOF3.

Unit cell a=8.641 b=8.641 c=4.012 alpha=90.00 beta=90.00 gamma=90.00
Positions (direct):
1 V 0.130 0.370 0.163
2 V 0.370 0.870 0.837
3 V 0.630 0.130 0.837
4 V 0.870 0.630 0.163
5 O 0.123 0.377 0.760
6 O 0.377 0.877 0.240
7 O 0.623 0.123 0.240
8 O 0.877 0.623 0.760
9 F 0.096 0.596 0.243
10 F 0.106 0.173 0.249
11 F 0.173 0.894 0.751
12 F 0.327 0.394 0.249
13 F 0.394 0.673 0.751
14 F 0.404 0.096 0.757
15 F 0.596 0.904 0.757
16 F 0.606 0.327 0.751
17 F 0.673 0.606 0.249
18 F 0.827 0.106 0.751
19 F 0.894 0.827 0.249
20 F 0.904 0.404 0.243

- symmetry = P-42_1m, No. 113
- DFT total energy (eV/atom) = -5.91
- volume (Å³ per cell) = 300



Entry 12:
The following is a DFT calculation (PBE with a Hubbard U) of a relaxed structure of VOF3.

Unit cell a=5.769 b=5.769 c=4.995 alpha=91.43 beta=91.43 gamma=63.43
Positions (direct):
1 V 0.000 0.000 0.000
2 V 0.711 0.289 0.500
3 O 0.011 0.168 0.706
4 O 0.832 0.989 0.294
5 F 0.070 0.694 0.866
6 F 0.306 0.930 0.134
7 F 0.384 0.370 0.415
8 F 0.630 0.616 0.585
9 F 0.631 0.149 0.817
10 F 0.851 0.369 0.183

- symmetry = C2, No. 5
- DFT total energy (eV/atom) = -5.84
- volume (Å³ per cell) = 149